A plane-wave DFT calculation with GGA-PBE was carried out for a relaxed structure of Zn2CdTc.

Energy relative to the elements = 0.38 eV/atom
Calculated volume = 64 Å³/cell

a = 4.4854 Å, b = 4.4854 Å, c = 4.4854 Å
α = 60.00°, β = 60.00°, γ = 60.00°
Last column: nearest neighbours and their distance in Å.
Positions (direct):
Zn1 0.0000 0.0000 0.0000  4 Cd 2.75, 4 Zn 2.75
Zn2 0.2500 0.2500 0.2500  4 Tc 2.75, 4 Zn 2.75
Cd1 0.7500 0.7500 0.7500  4 Tc 2.75, 4 Zn 2.75
Tc1 0.5000 0.5000 0.5000  4 Cd 2.75, 4 Zn 2.75